# GaSbTe2F GGA-PBE optimized geometry
# E above lowest polymorph = 0.0 meV per atom
# ΔE_f (raw) = -95 meV/atom
data_GaSbTe2F
_chemical_formula_sum 'Ga1 Sb1 Te2 F1'
_symmetry_space_group_name_H-M 'P 4/m m m'
_symmetry_Int_Tables_number 123
_symmetry_space_group_name_Hall '-P 4 2'
_cell_length_a 5.361
_cell_length_b 5.361
_cell_length_c 4.552
_cell_angle_alpha 90.00
_cell_angle_beta 90.00
_cell_angle_gamma 90.00
loop_
_atom_site_label
_atom_site_fract_x
_atom_site_fract_y
_atom_site_fract_z
Ga1 0.000 0.000 0.000
Sb1 0.500 0.500 0.000
Te1 0.000 0.500 0.500
F1 0.500 0.500 0.500